Entry 1:
Compound: HfTl2Cd2
Source: Alexandria via LeMat-Bulk
Functional: GGA-PBE
Structure: optimized geometry

Cell: 8.3053 8.3053 3.5350 Å, 90.00 90.00 90.00°
Space group P4/mbm (No. 127)
One atom of each set of equivalent atoms:
Hf1 0.0000 0.0000 0.0000
Tl1 0.1783 0.3217 0.5000
Cd1 0.1243 0.6243 0.0000

Output
E_tot: -29.71 eV per cell
Energy of formation from the pure elements: 0.33 eV per atom
Volume: 243.8 Å³/cell
ρ: 11.06 g/cm3

Entry 2:
Compound: U3Tl4FeS8
Source: Alexandria via LeMat-Bulk
Functional: GGA-PBE
Structure: optimized geometry

Cell: 7.8146 7.8146 22.9609 Å, 90.00 90.00 120.00°
Space group R-3m (No. 166, hexagonal axes)
One atom of each set of equivalent atoms:
U1 0.0000 0.5000 0.0000
Tl1 0.0000 0.0000 0.5000
Tl2 0.0000 0.5000 0.5000
Fe1 0.0000 0.0000 0.0000
S1 0.0000 0.0000 0.2665
S2 0.0105 0.5053 0.7299

Output
E_tot: -294.70 eV per cell
Volume: 1214.4 Å³/cell
ΔE_f (raw): -839 meV per atom
ρ: 7.56 g/cm3

Entry 3:
Compound: Ba2NdTlSe5
Source: Alexandria via LeMat-Bulk
Functional: GGA-PBE
Structure: optimized geometry

Cell: 4.3891 19.3613 13.5059 Å, 90.00 90.00 90.00°
Space group Cmc2_1 (No. 36)
One atom of each set of equivalent atoms:
Ba1 0.0000 0.1183 0.0000
Ba2 0.0000 0.1334 0.6317
Nd1 0.0000 0.2106 0.3324
Tl1 0.0000 0.4538 0.7593
Se1 0.0000 0.0491 0.3785
Se2 0.0000 0.2912 0.9780
Se3 0.0000 0.3145 0.6817
Se4 0.0000 0.3580 0.3186
Se5 0.0000 0.4935 0.0806

Output
E_tot: -168.34 eV per cell
Volume: 1147.7 Å³/cell
ΔE_f (raw): -1520 meV per atom
ρ: 5.89 g/cm3

Entry 4:
Compound: SiMo7
Source: Alexandria via LeMat-Bulk
Functional: GGA-PBE
Structure: optimized geometry

Cell: 7.9370 7.9370 7.9370 Å, 90.00 90.00 90.00°
Space group Fm-3m (No. 225)
One atom of each set of equivalent atoms:
Si1 0.0000 0.0000 0.0000
Mo1 0.0000 0.0000 0.5000
Mo2 0.0000 0.2500 0.2500

Output
E_tot: -318.04 eV per cell
Volume: 500.0 Å³/cell
ΔE_f (raw): 216 meV per atom
ρ: 9.29 g/cm3

Entry 5:
Compound: Pa5SiSe4
Source: Alexandria via LeMat-Bulk
Functional: GGA-PBE
Structure: optimized geometry

Cell: 9.1117 9.1117 5.7513 Å, 90.00 90.00 90.00°
Space group I4/m (No. 87)
One atom of each set of equivalent atoms:
Pa1 0.0000 0.0000 0.0000
Pa2 0.0989 0.7050 0.5000
Si1 0.0000 0.0000 0.5000
Se1 0.0989 0.6994 0.0000

Output
E_tot: -155.25 eV per cell
Energy relative to the lowest polymorph listed for this composition: 0.000 kcal/mol of atoms
Volume: 477.5 Å³/cell
ΔE_f (raw): -1078 meV per atom
ρ: 10.43 g/cm3

Entry 6:
Compound: Gd3HgO
Source: Alexandria via LeMat-Bulk
Functional: GGA-PBE
Structure: optimized geometry

Cell: 4.8376 4.8376 4.8376 Å, 90.00 90.00 90.00°
Space group Pm-3m (No. 221)
One atom of each set of equivalent atoms:
Gd1 0.0000 0.0000 0.5000
Hg1 0.5000 0.5000 0.5000
O1 0.0000 0.0000 0.0000

Output
E_tot: -54.24 eV per cell
Volume: 113.2 Å³/cell
ΔE_f (raw): -1348 meV per atom
ρ: 10.10 g/cm3

Entry 7:
Compound: BaAl2ZnIr
Source: Alexandria via LeMat-Bulk
Functional: GGA-PBE
Structure: optimized geometry

Cell: 4.8172 4.8172 5.0002 Å, 90.00 90.00 90.00°
Space group P4/mmm (No. 123)
One atom of each set of equivalent atoms:
Ba1 0.0000 0.0000 0.0000
Al1 0.0000 0.5000 0.5000
Zn1 0.5000 0.5000 0.0000
Ir1 0.5000 0.5000 0.5000

Output
E_tot: -21.91 eV per cell
Energy of formation from the pure elements: -0.47 eV per atom
Volume: 116.0 Å³/cell
ρ: 6.42 g/cm3

Entry 8:
Compound: Ho2Sb3Rh4
Source: Alexandria via LeMat-Bulk
Functional: GGA-PBE
Structure: optimized geometry

Cell: 6.0573 15.8704 7.3952 Å, 90.00 90.00 90.00°
Space group Cmce (No. 64)
One atom of each set of equivalent atoms:
Ho1 0.0000 0.0999 0.0929
Sb1 0.0000 0.0000 0.5000
Sb2 0.2500 0.2381 0.7500
Rh1 0.0000 0.1697 0.4805
Rh2 0.2500 0.0678 0.7500

Output
E_tot: -231.20 eV per cell
Volume: 710.9 Å³/cell
ΔE_f (raw): -764 meV per atom
ρ: 10.34 g/cm3

Entry 9:
Compound: ZnAgBi2As
Source: Alexandria via LeMat-Bulk
Functional: GGA-PBE
Structure: optimized geometry

Cell: 5.7175 5.7175 4.7836 Å, 90.00 90.00 90.00°
Space group P4/mmm (No. 123)
One atom of each set of equivalent atoms:
Zn1 0.0000 0.0000 0.0000
Ag1 0.5000 0.5000 0.0000
Bi1 0.0000 0.5000 0.5000
As1 0.5000 0.5000 0.5000

Output
E_tot: -13.71 eV per cell
Energy of formation from the pure elements: 0.56 eV per atom
Volume: 156.4 Å³/cell
ρ: 7.07 g/cm3

Entry 10:
Compound: Pu2ScTl3O9
Source: Alexandria via LeMat-Bulk
Functional: GGA-PBE
Structure: optimized geometry

Cell: 6.0043 6.0043 7.3648 Å, 90.00 90.00 120.00°
Space group P-3m1 (No. 164)
One atom of each set of equivalent atoms:
Pu1 0.3333 0.6667 0.1716
Sc1 0.0000 0.0000 0.5000
Tl1 0.0000 0.0000 0.0000
Tl2 0.3333 0.6667 0.6588
O1 0.0000 0.5000 0.0000
O2 0.1705 0.3409 0.3292

Output
E_tot: -118.41 eV per cell
Volume: 229.9 Å³/cell
ΔE_f (raw): -2112 meV per atom
ρ: 9.32 g/cm3

Entry 11:
Compound: K2NiRh
Source: Alexandria via LeMat-Bulk
Functional: GGA-PBE
Structure: optimized geometry

Cell: 4.0879 4.0879 10.3511 Å, 90.00 90.00 90.00°
Space group I4/mmm (No. 139)
One atom of each set of equivalent atoms:
K1 0.0000 0.5000 0.2500
Ni1 0.0000 0.0000 0.0000
Rh1 0.0000 0.0000 0.5000

Output
E_tot: -23.51 eV per cell
Energy relative to the lowest polymorph listed for this composition: 11.702 kcal/mol of atoms
Energy of formation from the pure elements: 0.89 eV per atom
Volume: 173.0 Å³/cell
ρ: 4.60 g/cm3

Entry 12:
Compound: Ta2PtCSe
Source: Alexandria via LeMat-Bulk
Functional: GGA-PBE
Structure: optimized geometry

Cell: 4.7398 4.7398 4.5360 Å, 90.00 90.00 90.00°
Space group P4/mmm (No. 123)
One atom of each set of equivalent atoms:
Ta1 0.0000 0.5000 0.0000
Pt1 0.0000 0.0000 0.5000
C1 0.5000 0.5000 0.5000
Se1 0.0000 0.0000 0.0000

Output
E_tot: -31.94 eV per cell
Volume: 101.9 Å³/cell
ΔE_f (raw): 2102 meV per atom
ρ: 10.56 g/cm3

Number 1: total moment 0.0000 μB per atom. Number 2: total moment 0.6561 μB per atom. Number 3: total moment 0.0000 μB per atom. Number 4: total moment 0.0000 μB per atom. Number 5: total moment 0.1568 μB per atom. Number 6: total moment 4.2935 μB per atom. Number 7: total moment 0.0000 μB per atom. Number 8: total moment 0.0000 μB per atom. Number 9: total moment 0.0000 μB per atom. Number 10: total moment 0.2665 μB per atom. Number 11: total moment 0.2191 μB per atom. Number 12: total moment 0.0000 μB per atom.